LiFe2Pb | PBE | relaxed

Results
Theoretical density: 8.3 g/cm³
Energy relative to the elements: 175 kJ/mol of formula units
Energy: -20.738 eV/cell

Cell: 2.9340 4.0703 5.4718 Å, 90.00 90.00 90.00°
Closest atoms and distances in Å follow each position.
Fractional positions:
Fe 0.0000 0.0000 0.0318  1 Fe 2.39
Fe 0.0000 0.0000 0.4682  1 Fe 2.39
Pb 0.5000 0.5000 0.7500  2 Li 2.74, 2 Pb 2.93, 8 Fe 2.94
Li 0.5000 0.5000 0.2500  2 Pb 2.74, 8 Fe 2.78, 2 Li 2.93

Er2AlSi4Ir3 | PBE | relaxed

Results
Theoretical density: 10.3 g/cm³
Energy relative to the elements, uncorrected: -0.91 eV per atom
Energy: -70.275 eV/cell

Cell: 4.0382 4.0382 10.3476 Å, 90.00 90.00 90.00°
Closest atoms and distances in Å follow each position.
Fractional positions:
Er 0.0000 0.5000 0.7548  8 Si 3.07-3.24, 6 Ir 3.11-3.32, 2 Al 3.32
Er 0.5000 0.0000 0.2452  8 Si 3.07-3.24, 6 Ir 3.11-3.32, 2 Al 3.32
Si 0.5000 0.5000 0.0000  4 Ir 2.41
Si 0.5000 0.0000 0.6452  3 Ir 2.36-2.52, 2 Al 2.52
Si 0.0000 0.0000 0.0000  4 Ir 2.41
Si 0.0000 0.5000 0.3548  3 Ir 2.36-2.52, 2 Al 2.52
Ir 0.0000 0.5000 0.1266  5 Si 2.36-2.41
Ir 0.0000 0.0000 0.5000  4 Si 2.52
Ir 0.5000 0.0000 0.8734  5 Si 2.36-2.41
Al 0.5000 0.5000 0.5000  4 Si 2.52

Tm8SbAs3Se4 | PBE | relaxed

Results
Theoretical density: 8.7 g/cm³
Energy relative to the elements, uncorrected: -1.57 eV per atom
Energy: -92.871 eV/cell

Cell: 8.1797 8.1509 8.1799 Å, 120.12 120.00 90.00°
Closest atoms and distances in Å follow each position.
Fractional positions:
Se 0.5000 0.0000 0.5000  6 Tm 2.94
Se 0.0000 0.0000 0.5000  6 Tm 2.94
Se 0.0000 0.0000 0.0000  6 Tm 2.94
Se 0.5000 0.0000 0.0000  6 Tm 2.84
As 0.5000 0.5000 0.5000  6 Tm 2.83-2.84
As 0.5000 0.5000 0.0000  6 Tm 2.83
As 0.0000 0.5000 0.5000  6 Tm 2.83-2.84
Tm 0.7358 0.7449 0.9904  2 As 2.83, 3 Se 2.84-2.94, 1 Sb 2.94
Tm 0.7454 0.7362 0.4907  3 As 2.83-2.84, 3 Se 2.94
Tm 0.2642 0.2551 0.0096  2 As 2.83, 3 Se 2.84-2.94, 1 Sb 2.94
Tm 0.7455 0.2552 0.4909  2 As 2.83, 3 Se 2.84-2.94, 1 Sb 2.94
Tm 0.2546 0.2638 0.5093  3 As 2.83-2.84, 3 Se 2.94
Tm 0.7455 0.2551 0.0096  2 As 2.83, 3 Se 2.84-2.94, 1 Sb 2.94
Tm 0.2545 0.7448 0.5091  2 As 2.83, 3 Se 2.84-2.94, 1 Sb 2.94
Tm 0.2545 0.7449 0.9904  2 As 2.83, 3 Se 2.84-2.94, 1 Sb 2.94
Sb 0.0000 0.5000 0.0000  6 Tm 2.94